1.
Compound: Tb2InSi2
Source: Alexandria via LeMat-Bulk
Functional: PBE-GGA
Structure: optimized geometry

Computed properties:
As for the size of the total moment: 0.00 μB/f.u. The raw formation energy comes out at -0.670 eV/atom. The symmetry is No. 65. For the volume, the calculation gives 22.48 A^3/atom.

abc: 7.437 7.437 4.115
angles: 90.00 90.00 150.41
Fractional positions:
Tb 0.138 0.862 0.000
Tb 0.862 0.138 0.000
In 0.500 0.500 0.500
Si 0.300 0.700 0.500
Si 0.700 0.300 0.500

2.
Compound: Tb5In2Si2
Source: Alexandria via LeMat-Bulk
Functional: PBE-GGA
Structure: optimized geometry

Computed properties:
As for the size of the total moment: 0.00 μB/f.u. The raw formation energy comes out at -0.574 eV/atom. The symmetry is No. 64. For the volume, the calculation gives 26.02 A^3/atom.

abc: 8.822 8.822 7.693
angles: 90.00 90.00 51.46
Fractional positions:
Tb 0.000 0.000 0.000
Tb 0.061 0.690 0.681
Tb 0.190 0.561 0.181
Tb 0.310 0.939 0.681
Tb 0.439 0.810 0.181
Tb 0.500 0.500 0.500
Tb 0.561 0.190 0.819
Tb 0.690 0.061 0.319
Tb 0.810 0.439 0.819
Tb 0.939 0.310 0.319
In 0.222 0.222 0.000
In 0.278 0.278 0.500
In 0.722 0.722 0.500
In 0.778 0.778 0.000
Si 0.116 0.884 0.382
Si 0.384 0.616 0.882
Si 0.616 0.384 0.118
Si 0.884 0.116 0.618

3.
Compound: Tb2InSi
Source: Alexandria via LeMat-Bulk
Functional: PBE-GGA
Structure: optimized geometry

Computed properties:
As for the size of the total moment: 0.00 μB/f.u. The raw formation energy comes out at -0.113 eV/atom. The symmetry is No. 166. For the volume, the calculation gives 33.41 A^3/atom.

abc: 9.948 9.948 9.948
angles: 23.16 23.16 23.16
Fractional positions:
Tb 0.112 0.112 0.112
Tb 0.888 0.888 0.888
In 0.000 0.000 0.000
Si 0.500 0.500 0.500

4.
Compound: TbInSi
Source: Alexandria via LeMat-Bulk
Functional: PBE-GGA
Structure: optimized geometry

Computed properties:
As for the size of the total moment: 0.00 μB/f.u. The raw formation energy comes out at -0.195 eV/atom. The symmetry is No. 70. For the volume, the calculation gives 26.48 A^3/atom.

abc: 8.545 8.086 6.916
angles: 68.93 62.02 49.05
Fractional positions:
Tb 0.037 0.037 0.713
Tb 0.287 0.287 0.963
Tb 0.713 0.713 0.037
Tb 0.963 0.963 0.287
In 0.000 0.500 0.500
In 0.500 0.000 0.500
In 0.500 0.500 0.000
In 0.500 0.500 0.500
Si 0.084 0.666 0.666
Si 0.334 0.916 0.916
Si 0.666 0.084 0.084
Si 0.916 0.334 0.334

5.
Compound: Tb6InSi2
Source: Alexandria via LeMat-Bulk
Functional: PBE-GGA
Structure: optimized geometry

Computed properties:
As for the size of the total moment: 0.00 μB/f.u. The raw formation energy comes out at -0.532 eV/atom. The symmetry is No. 71. For the volume, the calculation gives 26.73 A^3/atom.

abc: 8.560 8.560 8.560
angles: 112.26 110.63 105.60
Fractional positions:
Tb 0.035 0.240 0.795
Tb 0.185 0.277 0.462
Tb 0.185 0.723 0.908
Tb 0.320 0.024 0.704
Tb 0.320 0.616 0.296
Tb 0.445 0.240 0.205
Tb 0.555 0.760 0.795
Tb 0.680 0.384 0.704
Tb 0.680 0.976 0.296
Tb 0.815 0.277 0.092
Tb 0.815 0.723 0.538
Tb 0.965 0.760 0.205
In 0.000 0.000 0.000
In 0.500 0.500 0.000
Si 0.115 0.615 0.500
Si 0.370 0.000 0.370
Si 0.630 0.000 0.630
Si 0.885 0.385 0.500

6.
Compound: Tb2InSi
Source: Alexandria via LeMat-Bulk
Functional: PBE-GGA
Structure: optimized geometry

Computed properties:
As for the size of the total moment: 0.00 μB/f.u. The raw formation energy comes out at -0.457 eV/atom. The symmetry is No. 123. For the volume, the calculation gives 24.29 A^3/atom.

abc: 3.772 3.772 6.828
angles: 90.00 90.00 90.00
Fractional positions:
Tb 0.000 0.000 0.224
Tb 0.000 0.000 0.776
In 0.500 0.500 0.500
Si 0.500 0.500 0.000

7.
Compound: Tb5InSi2
Source: Alexandria via LeMat-Bulk
Functional: PBE-GGA
Structure: optimized geometry

Computed properties:
As for the size of the total moment: 0.00 μB/f.u. The raw formation energy comes out at -0.591 eV/atom. The symmetry is No. 140. For the volume, the calculation gives 26.24 A^3/atom.

abc: 8.924 8.924 8.924
angles: 128.83 128.83 75.29
Fractional positions:
Tb 0.000 0.000 0.000
Tb 0.031 0.531 0.839
Tb 0.192 0.031 0.500
Tb 0.308 0.808 0.839
Tb 0.469 0.308 0.500
Tb 0.500 0.500 0.000
Tb 0.531 0.692 0.500
Tb 0.692 0.192 0.161
Tb 0.808 0.969 0.500
Tb 0.969 0.469 0.161
In 0.250 0.250 0.000
In 0.750 0.750 0.000
Si 0.127 0.373 0.500
Si 0.373 0.873 0.247
Si 0.627 0.127 0.753
Si 0.873 0.627 0.500

8.
Compound: Tb2InSi
Source: Alexandria via LeMat-Bulk
Functional: PBE-GGA
Structure: optimized geometry

Computed properties:
As for the size of the total moment: 0.00 μB/f.u. The raw formation energy comes out at -0.584 eV/atom. The symmetry is No. 38. For the volume, the calculation gives 25.24 A^3/atom.

abc: 6.723 7.172 7.172
angles: 35.73 90.00 90.00
Fractional positions:
Tb 0.000 0.000 0.000
Tb 0.000 0.251 0.251
Tb 0.500 0.092 0.092
Tb 0.500 0.800 0.800
In 0.291 0.433 0.433
In 0.709 0.433 0.433
Si 0.189 0.635 0.635
Si 0.811 0.635 0.635

9.
Compound: TbInSi
Source: Alexandria via LeMat-Bulk
Functional: PBE-GGA
Structure: optimized geometry

Computed properties:
As for the size of the total moment: 0.00 μB/f.u. The raw formation energy comes out at -0.377 eV/atom. The symmetry is No. 156. For the volume, the calculation gives 23.95 A^3/atom.

abc: 4.276 4.276 4.537
angles: 90.00 90.00 120.00
Fractional positions:
Tb 0.000 0.000 0.000
In 0.333 0.667 0.438
Si 0.667 0.333 0.655

10.
Compound: TbIn2Si
Source: Alexandria via LeMat-Bulk
Functional: PBE-GGA
Structure: optimized geometry

Computed properties:
As for the size of the total moment: 0.00 μB/f.u. The raw formation energy comes out at -0.307 eV/atom. The symmetry is No. 123. For the volume, the calculation gives 22.74 A^3/atom.

abc: 4.319 4.319 4.878
angles: 90.00 90.00 90.00
Fractional positions:
Tb 0.000 0.000 0.000
In 0.000 0.500 0.500
In 0.500 0.000 0.500
Si 0.500 0.500 0.000

11.
Compound: InSi2Tc
Source: Alexandria via LeMat-Bulk
Functional: PBE-GGA
Structure: optimized geometry

Computed properties:
As for the size of the total moment: 0.00 μB/f.u. The raw formation energy comes out at 0.087 eV/atom. The symmetry is No. 166. For the volume, the calculation gives 17.35 A^3/atom.

abc: 8.453 8.453 8.453
angles: 21.24 21.24 21.24
Fractional positions:
In 0.000 0.000 0.000
Si 0.235 0.235 0.235
Si 0.765 0.765 0.765
Tc 0.500 0.500 0.500

12.
Compound: In2SiTc
Source: Alexandria via LeMat-Bulk
Functional: PBE-GGA
Structure: optimized geometry

Computed properties:
As for the size of the total moment: 0.01 μB/f.u. The raw formation energy comes out at 0.442 eV/atom. The symmetry is No. 119. For the volume, the calculation gives 18.08 A^3/atom.

abc: 5.142 5.142 5.142
angles: 132.57 132.57 69.32
Fractional positions:
In 0.000 0.000 0.000
In 0.750 0.250 0.500
Si 0.250 0.750 0.500
Tc 0.500 0.500 0.000